A plane-wave DFT calculation with PBE was carried out for a relaxed YZn2F8 crystal.

energy relative to the elements, uncorrected = -2.661 eV per atom

Structure (POSCAR):
```
YZn2F8
1.0
-5.413 -0.030 -0.726
0.722 -0.858 -5.345
2.264 -4.736 3.856
Y Zn F
1 2 8
direct
0.500 0.500 0.000
0.750 0.250 0.500
0.250 0.750 0.500
0.791 0.326 0.252
0.074 0.539 0.748
0.674 0.209 0.748
0.209 0.074 0.748
0.461 0.926 0.252
0.926 0.791 0.252
0.326 0.461 0.252
0.539 0.674 0.748
```